Entry i
A crystal of La3OsPb relaxed with PBEsol, computed with SCAN.

```
5
Lattice="5.458 0.000 0.000 0.000 5.458 0.000 0.000 0.000 5.458" Properties=species:S:1:pos:R:3 pbc="T T T"
La 0.000 2.729 0.000
La 0.000 0.000 2.729
La 2.729 0.000 0.000
Os 0.000 0.000 0.000
Pb 2.729 2.729 2.729
```

Summary:
Mass density: 8.32 Mg/m³



Entry ii
A crystal of La3OsPb relaxed with PBEsol, computed with SCAN.

```
10
Lattice="4.759 0.000 0.000 0.000 8.249 0.005 0.000 -3.997 7.645" Properties=species:S:1:pos:R:3 pbc="T T T"
La 0.000 -0.161 5.517
La 2.379 1.299 3.312
La 2.379 5.343 4.286
La 0.000 -2.846 7.568
La 2.379 6.032 0.074
La 0.000 3.963 2.165
Pb 0.000 3.025 5.331
Pb 0.000 -1.026 2.340
Os 2.379 -1.392 6.421
Os 2.379 3.283 1.197
```

Summary:
Mass density: 9.01 Mg/m³



The data favor entry ii; the next most stable structure lies 41 meV/atom above it.



Entry i
A crystal of LaOs2Pt relaxed with PBEsol, computed with SCAN.

```
4
Lattice="2.827 0.000 0.000 1.413 2.448 0.000 1.413 0.816 9.833" Properties=species:S:1:pos:R:3 pbc="T T T"
Pt 2.827 1.632 5.185
La 1.413 0.816 2.457
Os 4.240 2.448 7.458
Os 1.413 0.816 9.481
```

Summary:
Mass density: 17.44 Mg/m³



Entry ii
A crystal of LaOs2Pt relaxed with PBEsol, computed with SCAN.

```
4
Lattice="-3.326 0.126 2.387 0.923 -3.705 1.483 3.433 3.553 1.082" Properties=species:S:1:pos:R:3 pbc="T T T"
Os -0.547 0.945 2.702
Os 1.577 -0.971 2.249
Pt -1.202 -1.790 1.935
La 0.000 0.000 0.000
```

Summary:
Mass density: 17.06 Mg/m³



The data favor entry i; the next most stable structure lies 128 meV/atom above it.



Entry i
A crystal of La2ReOs relaxed with PBEsol, computed with SCAN.

```
4
Lattice="4.211 0.009 0.028 2.098 3.651 0.028 2.067 1.199 6.390" Properties=species:S:1:pos:R:3 pbc="T T T"
Os 4.194 2.433 2.132
La 6.284 3.645 4.424
La 6.309 3.660 0.460
Re 2.087 1.211 2.708
```

Summary:
Mass density: 11.10 Mg/m³



Entry ii
A crystal of La2ReOs relaxed with PBEsol, computed with SCAN.

```
4
Lattice="-2.907 -0.365 -0.646 0.656 -3.877 -0.759 -1.368 -1.733 7.676" Properties=species:S:1:pos:R:3 pbc="T T T"
Os -0.921 -1.006 4.344
Re -1.867 -3.268 4.521
La -2.031 -2.743 1.695
La -3.759 -1.923 6.579
```

Summary:
Mass density: 11.32 Mg/m³



The data favor entry i; the next most stable structure lies 313 meV/atom above it.



Entry i
A crystal of LaReOs relaxed with PBEsol, computed with SCAN.

```
3
Lattice="4.116 0.000 0.000 -2.058 3.565 0.000 0.000 0.000 4.672" Properties=species:S:1:pos:R:3 pbc="T T T"
Re 2.058 1.188 2.530
La 0.000 0.000 0.001
Os 0.000 2.377 2.141
```

Summary:
Mass density: 12.48 Mg/m³



Entry ii
A crystal of LaReOs relaxed with PBEsol, computed with SCAN.

```
3
Lattice="-0.341 -3.770 2.230 0.609 -3.833 -2.059 3.589 -2.394 0.830" Properties=species:S:1:pos:R:3 pbc="T T T"
Os 0.000 0.000 0.000
Re 1.929 -4.998 0.500
La 2.893 -7.498 0.751
```

Summary:
Mass density: 14.27 Mg/m³



The data favor entry i; the next most stable structure lies 2036 meV/atom above it.



Entry i
A crystal of LaOsRu2 relaxed with PBEsol, computed with SCAN.

```
4
Lattice="3.185 0.000 0.000 1.592 2.758 0.000 1.592 0.919 8.298" Properties=species:S:1:pos:R:3 pbc="T T T"
Ru 1.592 0.919 1.703
Ru 4.777 2.758 6.595
La 3.185 1.839 4.149
Os 0.000 0.000 0.000
```

Summary:
Mass density: 12.10 Mg/m³



Entry ii
A crystal of LaOsRu2 relaxed with PBEsol, computed with SCAN.

```
4
Lattice="-2.238 1.481 -1.201 -1.049 -3.780 -2.707 -2.907 -1.632 3.406" Properties=species:S:1:pos:R:3 pbc="T T T"
Ru -0.524 -1.890 -1.353
Ru -1.453 -0.816 1.703
La -3.097 -1.966 -0.250
Os -1.119 0.740 -0.600
```

Summary:
Mass density: 13.21 Mg/m³



The data favor entry ii; the next most stable structure lies 369 meV/atom above it.



Entry i
A crystal of LaOsRu relaxed with PBEsol, computed with SCAN.

```
3
Lattice="4.395 0.000 0.000 2.197 3.806 0.000 2.197 1.269 3.588" Properties=species:S:1:pos:R:3 pbc="T T T"
Ru 4.395 2.537 1.794
La 2.197 1.269 0.897
Os 0.000 0.000 0.000
```

Summary:
Mass density: 11.90 Mg/m³



Entry ii
A crystal of LaOsRu relaxed with PBEsol, computed with SCAN.

```
3
Lattice="2.854 0.000 0.000 -1.427 2.472 0.000 0.000 0.000 7.531" Properties=species:S:1:pos:R:3 pbc="T T T"
Ru 1.427 0.824 2.771
La 0.000 0.000 0.013
Os 0.000 1.648 4.747
```

Summary:
Mass density: 13.45 Mg/m³



The data favor entry ii; the next most stable structure lies 673 meV/atom above it.



Entry i
A crystal of LaSc2Os relaxed with PBEsol, computed with SCAN.

```
4
Lattice="4.896 0.000 0.000 2.448 4.240 0.000 2.448 1.413 3.998" Properties=species:S:1:pos:R:3 pbc="T T T"
Os 2.448 1.413 0.999
Sc 7.344 4.240 2.998
Sc 0.000 0.000 0.000
La 4.896 2.827 1.999
```

Summary:
Mass density: 8.38 Mg/m³



Entry ii
A crystal of LaSc2Os relaxed with PBEsol, computed with SCAN.

```
4
Lattice="3.228 0.000 0.000 0.000 3.228 0.000 0.000 0.000 8.681" Properties=species:S:1:pos:R:3 pbc="T T T"
Sc 0.000 0.000 2.829
Sc 0.000 0.000 5.852
Os 1.614 1.614 4.340
La 1.614 1.614 0.000
```

Summary:
Mass density: 7.69 Mg/m³



The data favor entry ii; the next most stable structure lies 356 meV/atom above it.



Entry i
A crystal of LaSc2Os relaxed with PBEsol, computed with SCAN.

```
4
Lattice="3.389 0.000 0.000 0.000 4.894 0.000 -1.695 -2.447 5.331" Properties=species:S:1:pos:R:3 pbc="T T T"
La 1.695 2.447 0.454
Os 0.000 2.447 2.767
Sc 1.695 2.447 4.752
Sc 1.695 0.000 2.687
```

Summary:
Mass density: 7.87 Mg/m³



Entry ii
A crystal of LaSc2Os relaxed with PBEsol, computed with SCAN.

```
4
Lattice="-2.671 3.952 0.821 -3.346 1.371 -3.218 -4.702 -0.435 1.064" Properties=species:S:1:pos:R:3 pbc="T T T"
Os -5.359 2.444 -0.667
Sc -8.039 3.666 -1.000
Sc -2.680 1.222 -0.333
La 0.000 0.000 0.000
```

Summary:
Mass density: 8.68 Mg/m³



The data favor entry i; the next most stable structure lies 138 meV/atom above it.



Entry i
A crystal of La2ScOs relaxed with PBEsol, computed with SCAN.

```
4
Lattice="3.720 0.000 0.000 0.000 5.055 0.049 0.000 -0.049 5.055" Properties=species:S:1:pos:R:3 pbc="T T T"
Os 1.860 0.000 0.000
La 0.000 -0.025 2.528
La 0.000 2.528 0.025
Sc 1.860 2.503 2.552
```

Summary:
Mass density: 8.96 Mg/m³



Entry ii
A crystal of La2ScOs relaxed with PBEsol, computed with SCAN.

```
4
Lattice="3.514 0.000 0.000 0.000 5.217 -0.008 -1.757 -2.600 5.607" Properties=species:S:1:pos:R:3 pbc="T T T"
La 1.757 0.004 3.358
La 1.757 2.617 5.582
Os 1.757 2.610 0.154
Sc 0.000 2.611 2.100
```

Summary:
Mass density: 8.29 Mg/m³



The data favor entry ii; the next most stable structure lies 288 meV/atom above it.



Entry i
A crystal of LaOsSe relaxed with PBEsol, computed with SCAN.

```
3
Lattice="4.762 0.000 0.000 2.381 4.124 0.000 2.381 1.375 3.888" Properties=species:S:1:pos:R:3 pbc="T T T"
Os 0.000 0.000 0.000
Se 4.762 2.750 1.944
La 2.381 1.375 0.972
```

Summary:
Mass density: 8.87 Mg/m³



Entry ii
A crystal of LaOsSe relaxed with PBEsol, computed with SCAN.

```
3
Lattice="-1.683 3.978 -1.522 -2.086 0.196 -4.073 -4.530 0.633 -0.225" Properties=species:S:1:pos:R:3 pbc="T T T"
La 0.000 0.000 0.000
Se -2.075 1.202 -1.455
Os -4.150 2.404 -2.909
```

Summary:
Mass density: 9.98 Mg/m³



The data favor entry ii; the next most stable structure lies 389 meV/atom above it.



Entry i
A crystal of Sr2LaOs relaxed with PBEsol, computed with SCAN.

```
4
Lattice="-3.152 0.849 1.491 -1.301 -3.211 -0.934 3.194 -3.906 8.977" Properties=species:S:1:pos:R:3 pbc="T T T"
Sr 0.124 -4.056 6.887
Sr 0.261 -0.319 0.734
La 1.317 -1.610 3.701
Os -1.365 -2.235 2.700
```

Summary:
Mass density: 6.31 Mg/m³



Entry ii
A crystal of Sr2LaOs relaxed with PBEsol, computed with SCAN.

```
4
Lattice="3.373 -0.103 0.000 -1.661 5.940 0.000 -0.856 -2.919 5.441" Properties=species:S:1:pos:R:3 pbc="T T T"
Os -0.831 2.970 0.000
Sr -0.428 -1.459 2.721
Sr 0.428 1.459 2.721
La 1.687 -0.052 0.000
```

Summary:
Mass density: 7.75 Mg/m³



The data favor entry i; the next most stable structure lies 681 meV/atom above it.



Entry i
A crystal of SrLaOs2 relaxed with PBEsol, computed with SCAN.

```
4
Lattice="3.278 0.000 0.000 1.639 2.839 0.000 1.639 0.946 9.161" Properties=species:S:1:pos:R:3 pbc="T T T"
Os 4.918 2.839 6.989
Os 1.639 0.946 2.172
La 0.000 0.000 0.000
Sr 3.278 1.893 4.581
```

Summary:
Mass density: 11.82 Mg/m³



Entry ii
A crystal of SrLaOs2 relaxed with PBEsol, computed with SCAN.

```
4
Lattice="3.509 0.000 0.000 0.000 3.509 0.000 0.000 0.000 7.127" Properties=species:S:1:pos:R:3 pbc="T T T"
Os 0.000 0.000 2.036
Os 0.000 0.000 5.090
La 1.755 1.755 3.563
Sr 1.755 1.755 0.000
```

Summary:
Mass density: 11.48 Mg/m³



The data favor entry ii; the next most stable structure lies 230 meV/atom above it.